Record 1
Material: HoZrAlZn
Method: DFT, PBE
State: optimized geometry

Unit cell a=4.8912 b=4.8912 c=4.8912 alpha=60.00 beta=60.00 gamma=60.00
Last column: nearest neighbours and their distance in Å.
Element x y z (fractional)
Zn1 0.0000 0.0000 0.0000  4 Zr 3.00, 4 Ho 3.00
Ho1 0.7500 0.7500 0.7500  4 Al 3.00, 4 Zn 3.00
Zr1 0.2500 0.2500 0.2500  4 Al 3.00, 4 Zn 3.00
Al1 0.5000 0.5000 0.5000  4 Ho 3.00, 4 Zr 3.00

Final energy ... -19.4 eV/cell

Record 2
Material: Ho2ZrAl
Method: DFT, PBE
State: optimized geometry

Unit cell a=5.2192 b=5.2192 c=5.2201 alpha=60.01 beta=60.01 gamma=60.00
Last column: nearest neighbours and their distance in Å.
Element x y z (fractional)
Ho1 0.7500 0.7500 0.7500  4 Zr 3.20, 4 Al 3.20
Ho2 0.2500 0.2500 0.2500  4 Zr 3.20, 4 Al 3.20
Zr1 0.5000 0.5000 0.5000  8 Ho 3.20
Al1 0.0000 0.0000 0.0000  8 Ho 3.20

Final energy ... -21.5 eV/cell

> Look up the final energy of the first one.

-19.4 eV/cell